Record 1
Below is an optimized crystal structure of Tl3GeI4, with properties calculated at the PBE-GGA level.

Computed properties:
Its total energy is -41.67 eV per cell. For the calculated density, the calculation gives 5973 kg/m3. For the uncorrected formation energy, the calculation gives -365 meV/atom.

Lattice parameters (Å, degrees): 13.779 6.945 6.934 90.00 90.00 90.00
Sites, in units of the cell vectors:
Tl1 0.000 0.249 0.000
Tl2 0.250 0.250 0.500
Tl3 0.250 0.750 0.000
Tl4 0.500 0.751 0.500
Tl5 0.750 0.250 0.500
Tl6 0.750 0.750 0.000
Ge1 0.000 0.751 0.499
Ge2 0.500 0.249 0.999
I1 0.000 0.275 0.500
I2 0.000 0.748 0.996
I3 0.224 0.750 0.500
I4 0.276 0.250 0.000
I5 0.500 0.252 0.496
I6 0.500 0.725 0.000
I7 0.724 0.250 0.000
I8 0.776 0.750 0.500



Record 2
Below is an optimized crystal structure of FePt2Br, with properties calculated at the PBE-GGA level.

Computed properties:
Its total energy is -21.52 eV per cell. For the calculated density, the calculation gives 11398 kg/m3. For the uncorrected formation energy, the calculation gives 174 meV/atom.

Lattice parameters (Å, degrees): 3.633 2.972 7.096 90.00 90.11 90.00
Sites, in units of the cell vectors:
Fe1 0.000 0.000 0.000
Pt1 0.002 0.000 0.369
Pt2 0.501 0.500 0.161
Br1 0.001 0.500 0.711



Record 3
Below is an optimized crystal structure of InH2Pt2, with properties calculated at the PBE-GGA level.

Computed properties:
Its total energy is -44.06 eV per cell. For the calculated density, the calculation gives 13615 kg/m3.

Lattice parameters (Å, degrees): 5.927 5.927 3.521 90.00 90.00 90.00
Sites, in units of the cell vectors:
In1 0.000 0.000 0.000
In2 0.500 0.500 0.000
H1 0.125 0.375 0.000
H2 0.375 0.875 0.000
H3 0.625 0.125 0.000
H4 0.875 0.625 0.000
Pt1 0.163 0.337 0.500
Pt2 0.337 0.837 0.500
Pt3 0.663 0.163 0.500
Pt4 0.837 0.663 0.500



Record 4
Below is an optimized crystal structure of CsGaSbTe3, with properties calculated at the PBE-GGA level.

Computed properties:
Its total energy is -40.12 eV per cell. For the calculated density, the calculation gives 4677 kg/m3. For the uncorrected formation energy, the calculation gives -439 meV/atom.

Lattice parameters (Å, degrees): 10.054 4.839 10.879 90.00 108.44 90.00
Sites, in units of the cell vectors:
Cs1 0.204 0.250 0.243
Cs2 0.796 0.750 0.757
Ga1 0.094 0.250 0.605
Ga2 0.906 0.750 0.395
Sb1 0.337 0.750 0.872
Sb2 0.663 0.250 0.128
Te1 0.130 0.250 0.863
Te2 0.192 0.750 0.543
Te3 0.469 0.750 0.153
Te4 0.531 0.250 0.847
Te5 0.808 0.250 0.457
Te6 0.870 0.750 0.137



Record 5
Below is an optimized crystal structure of LaMgPt2, with properties calculated at the PBE-GGA level.

Computed properties:
Its total energy is -21.80 eV per cell. For the calculated density, the calculation gives 11213 kg/m3. The energy of formation is -0.799 eV per atom.

Lattice parameters (Å, degrees): 5.602 5.602 5.602 136.89 136.32 63.05
Sites, in units of the cell vectors:
La1 0.000 0.000 0.000
Mg1 0.252 0.752 0.500
Pt1 0.500 0.500 0.000
Pt2 0.749 0.249 0.500



Record 6
Below is an optimized crystal structure of Sr2BeAs2, with properties calculated at the PBE-GGA level.

Computed properties:
Its total energy is -37.14 eV per cell. For the calculated density, the calculation gives 4480 kg/m3. The energy of formation is -0.436 eV per atom.

Lattice parameters (Å, degrees): 7.328 7.328 4.612 90.00 90.00 90.00
Sites, in units of the cell vectors:
Sr1 0.178 0.322 0.000
Sr2 0.322 0.822 0.000
Sr3 0.678 0.178 0.000
Sr4 0.822 0.678 0.000
Be1 0.000 0.000 0.500
Be2 0.500 0.500 0.500
As1 0.126 0.626 0.500
As2 0.374 0.126 0.500
As3 0.626 0.874 0.500
As4 0.874 0.374 0.500



Copy entry 1 word for word.
Below is an optimized crystal structure of Tl3GeI4, with properties calculated at the PBE-GGA level.

Computed properties:
Its total energy is -41.67 eV per cell. For the calculated density, the calculation gives 5973 kg/m3. For the uncorrected formation energy, the calculation gives -365 meV/atom.

Lattice parameters (Å, degrees): 13.779 6.945 6.934 90.00 90.00 90.00
Sites, in units of the cell vectors:
Tl1 0.000 0.249 0.000
Tl2 0.250 0.250 0.500
Tl3 0.250 0.750 0.000
Tl4 0.500 0.751 0.500
Tl5 0.750 0.250 0.500
Tl6 0.750 0.750 0.000
Ge1 0.000 0.751 0.499
Ge2 0.500 0.249 0.999
I1 0.000 0.275 0.500
I2 0.000 0.748 0.996
I3 0.224 0.750 0.500
I4 0.276 0.250 0.000
I5 0.500 0.252 0.496
I6 0.500 0.725 0.000
I7 0.724 0.250 0.000
I8 0.776 0.750 0.500